[1]
Zr5ZnSn: optimized geometry, GGA-PBE.

a = 7.8420 Å, b = 8.0636 Å, c = 10.0617 Å
α = 90.00°, β = 91.88°, γ = 90.00°
Closest atoms and distances in Å follow each position.
Space group C2/c (No. 15)
Asymmetric unit:
Zr  0.0000  0.1231  0.2500 x4  2 Zn 2.70, 2 Zr 2.94, 1 Sn 2.97
Zr  0.1545  0.3902  0.5011 x8  2 Zr 2.71-3.00, 1 Zn 2.85, 2 Sn 2.88-2.97
Zr  0.1896  0.2091  0.8362 x8  1 Zn 2.82, 1 Zr 2.94, 2 Sn 2.95-3.07
Zn  0.0000  0.0000  0.0000 x4  6 Zr 2.70-2.85
Sn  0.0000  0.4916  0.2500 x4  9 Zr 2.88-3.07

Properties
Energy, Ha/atom: -0.2535
Energy of formation from the pure elements, eV/f.u.: -0.3
Spin magnetization, μB per formula unit: 0.00

[2]
TaTc2Ag: optimized geometry, GGA-PBE.

a = 6.3747 Å, b = 6.3747 Å, c = 6.3747 Å
α = 90.00°, β = 90.00°, γ = 90.00°
Closest atoms and distances in Å follow each position.
Space group F-43m (No. 216)
Asymmetric unit:
Ta  0.0000  0.0000  0.0000 x4  4 Tc 2.76, 4 Ag 2.76
Tc  0.0000  0.0000  0.5000 x4  4 Tc 2.76, 4 Ag 2.76
Tc  0.2500  0.2500  0.2500 x4  4 Ta 2.76, 4 Tc 2.76
Ag  0.2500  0.2500  0.7500 x4  4 Ta 2.76, 4 Tc 2.76

Properties
Excess energy over the best structure of this formula in the dataset, meV per atom: 225
Energy, Ha/atom: -0.3108
Energy of formation from the pure elements, eV/f.u.: 1.6
Spin magnetization, μB per formula unit: 0.00

[3]
Sm4CoGe8: optimized geometry, GGA-PBE.

a = 4.0562 Å, b = 4.1677 Å, c = 16.4425 Å
α = 90.00°, β = 90.00°, γ = 90.00°
Closest atoms and distances in Å follow each position.
Space group Pmm2 (No. 25)
Asymmetric unit:
Sm  0.0000  0.0000  0.0000 x1  10 Ge 3.04-3.28
Sm  0.0000  0.5000  0.4991 x1  10 Ge 3.06-3.31, 4 Co 3.22
Sm  0.5000  0.0000  0.2093 x1  10 Ge 3.04-3.30, 1 Co 3.38
Sm  0.5000  0.5000  0.7086 x1  10 Ge 3.04-3.25
Co  0.5000  0.0000  0.4146 x1  5 Ge 2.31-2.37
Ge  0.0000  0.0000  0.3469 x1  2 Co 2.31
Ge  0.0000  0.0000  0.6557 x1  2 Ge 2.60
Ge  0.0000  0.5000  0.1538 x1  2 Ge 2.62
Ge  0.0000  0.5000  0.8562 x1  4 Ge 2.91, 4 Sm 3.15-3.16
Ge  0.5000  0.0000  0.5566 x1  1 Co 2.34, 2 Ge 2.60
Ge  0.5000  0.0000  0.8526 x1  4 Ge 2.91, 4 Sm 3.15-3.16
Ge  0.5000  0.5000  0.0533 x1  2 Ge 2.62
Ge  0.5000  0.5000  0.3465 x1  2 Co 2.37

Properties
Energy, Ha/atom: -0.2012
Energy of formation from the pure elements, eV/f.u.: -8.3
Spin magnetization, μB per formula unit: 0.00

[4]
NpH2OsO8: optimized geometry, GGA-PBE.

a = 5.0244 Å, b = 5.1283 Å, c = 6.5378 Å
α = 88.16°, β = 82.18°, γ = 77.37°
Closest atoms and distances in Å follow each position.
Space group P-1 (No. 2)
Asymmetric unit:
Np  0.0000  0.0000  0.0000 x1  2 O 1.79
H  0.4379  0.7656  0.6483 x2  1 O 1.01
Os  0.0000  0.0000  0.5000 x1  4 O 1.77-1.96
O  0.1659  0.7956  0.2499 x2  1 Os 1.96, 1 Np 2.08
O  0.2369  0.7710  0.6936 x2  1 H 1.01
O  0.2448  0.2082  0.9848 x2  1 Np 1.79
O  0.2460  0.2026  0.4481 x2  1 H 1.67, 1 Os 1.77

Properties
Energy, Ha/atom: -0.2674
Spin magnetization, μB per formula unit: 1.03